Density functional theory data (PBE+U) for SrCrO2 after structural relaxation.

Output
The value obtained for the energy is -6.95 eV/atom. The distance to the lowest polymorph of the same formula is 0.000 eV per atom.

a b c (Å): 4.0858 4.0858 3.4761
angles (deg): 90.00 90.00 90.00
With the nearest neighbours (Å) after each atom.
Space group P4/mmm (No. 123)
One atom of each set of equivalent atoms:
Sr (0.0000, 0.0000, 0.0000)  8 O 2.68
Cr (0.5000, 0.5000, 0.5000)  4 O 2.04
O (0.0000, 0.5000, 0.5000)  2 Cr 2.04